No. 1
# La3PrHo

A relaxed structure of La3PrHo (PBE, Alexandria).

Its crystal system is orthorhombic. As for the formation energy: 0.305 eV per atom. The value obtained for the energy above the most stable polymorph in this dataset is 0.70 eV per formula unit.

The structure belongs to space group Cmcm (No. 63); the cell edges are 6.880, 16.400 and 6.549 Å and the angles 90.00°, 90.00° and 90.00°. Symmetry generates all atoms from La at (0.000, 0.000, 0.000), La at (0.241, 0.166, 0.250), Pr at (0.000, 0.170, 0.750) and Ho at (0.000, 0.412, 0.250).

No. 2
# LaPrHo6

A relaxed structure of LaPrHo6 (PBE, Alexandria).

Its crystal system is tetragonal. As for the formation energy: 0.029 eV per atom. The value obtained for the energy above the most stable polymorph in this dataset is 0.00 eV per formula unit.

The structure belongs to space group P4/mmm (No. 123); the cell edges are 5.060, 5.060 and 10.129 Å and the angles 90.00°, 90.00° and 90.00°. Symmetry generates all atoms from La at (0.000, 0.000, 0.000), Pr at (0.000, 0.000, 0.500), Ho at (0.000, 0.500, 0.252), Ho at (0.500, 0.500, 0.000) and Ho at (0.500, 0.500, 0.500).

No. 3
# La4Pr8Ho

A relaxed structure of La4Pr8Ho (PBE, Alexandria).

Its crystal system is trigonal. As for the formation energy: 0.355 eV per atom.

The structure belongs to space group R-3m (No. 166, hexagonal axes); the cell edges are 11.9628, 11.9628 and 11.9017 Å and the angles 90.00°, 90.00° and 120.00°. Symmetry generates all atoms from La at (0.0000, 0.0000, 0.0000), La at (0.0000, 0.5000, 0.0000), Pr at (0.0000, 0.0000, 0.2402), Pr at (0.0023, 0.5012, 0.6656) and Ho at (0.0000, 0.0000, 0.5000).

No. 4
# La14PrHo

A relaxed structure of La14PrHo (PBE, Alexandria).

Its crystal system is orthorhombic. As for the formation energy: 0.078 eV per atom.

The structure belongs to space group Amm2 (No. 38); the cell edges are 11.949, 11.674 and 8.315 Å and the angles 90.00°, 90.00° and 90.00°. Symmetry generates all atoms from La at (0.000, 0.000, 0.000), La at (0.000, 0.000, 0.433), La at (0.000, 0.213, 0.733), La at (0.248, 0.214, 0.020), La at (0.251, 0.000, 0.309), La at (0.258, 0.000, 0.742), La at (0.500, 0.224, 0.736), Pr at (0.500, 0.000, 0.456) and Ho at (0.500, 0.000, 0.029).

- Number 2 is which compound?
  LaPrHo6